First-principles (PBE) data for a relaxed KZn3Au crystal, as listed in Alexandria via LeMat-Bulk. Values from VASP.

Quantum ESPRESSO input file:
```
&SYSTEM
  ibrav = 0, nat = 10, ntyp = 3
/
ATOMIC_SPECIES
K 39.10 K.upf
Zn 65.41 Zn.upf
Au 196.97 Au.upf
ATOMIC_POSITIONS angstrom
K 3.2899 2.8476 4.7093
K 3.2899 -2.8476 1.5698
Zn 3.2899 4.2624 1.5698
Zn 1.8268 0.0000 0.0000
Zn 1.8268 0.0000 3.1396
Zn 4.7529 0.0000 0.0000
Zn 4.7529 0.0000 3.1396
Zn 3.2899 -4.2624 4.7093
Au 3.2899 1.6110 1.5698
Au 3.2899 -1.6110 4.7093
CELL_PARAMETERS angstrom
3.2899 -5.4231 0.0000
3.2899 5.4231 0.0000
0.0000 0.0000 6.2791
```

## Properties
As for the symmetry: Cmcm, No. 63. The value obtained for the energy of formation is -0.111 eV/atom. For the polymorph energy (0 for the lowest one), the calculation gives 0 meV/atom.